# 1
Entry from Alexandria: an optimized crystal structure of Cr2SbAu (GGA-PBEsol).

## Properties
magnetic moment	0.113	μB per cell
space-group type	Cm
formation energy from raw total energies	322.8	meV/atom
VASP energy	-6.919	eV/atom
N(E_F)	2.69	states/eV/f.u.

a b c (Å): 3.1726 4.6785 4.8598
angles (deg): 102.21 109.05 90.00
With the nearest neighbours (Å) after each atom.
Element x y z (fractional)
Cr (0.7339, 0.2246, 0.4679)  2 Cr 2.59, 2 Au 2.69, 3 Sb 2.76-2.90
Sb (0.4929, 0.4882, 0.9859)  7 Cr 2.76-2.90, 3 Au 2.77-2.98
Cr (0.0130, 0.0122, 0.0260)  2 Cr 2.59, 3 Au 2.74-2.83, 4 Sb 2.77-2.89
Au (0.2601, 0.7751, 0.5203)  7 Cr 2.69-2.99, 3 Sb 2.77-2.98

---

# 2
Entry from Alexandria: an optimized crystal structure of GaTcTe2 (GGA-PBEsol).

## Properties
magnetic moment	0.006	μB per cell
space-group type	R-3m
formation energy from raw total energies	625.4	meV/atom
VASP energy	-4.789	eV/atom
N(E_F)	3.96	states/eV/f.u.

a b c (Å): 3.0739 3.0739 10.9429
angles (deg): 81.93 81.93 60.00
With the nearest neighbours (Å) after each atom.
Element x y z (fractional)
Tc (0.0000, 0.0000, 0.0000)  2 Te 2.58
Ga (0.5000, 0.5000, 0.5000)  6 Ga 3.07, 6 Te 3.34
Te (0.0795, 0.0795, 0.7615)  1 Tc 2.58
Te (0.9205, 0.9205, 0.2385)  1 Tc 2.58

---

# 3
Entry from Alexandria: an optimized crystal structure of ScCoMo2 (GGA-PBEsol).

## Properties
energy above the most stable polymorph in this dataset	7.62	kcal/mol of atoms
magnetic moment	0.578	μB per cell
ΔH_f (0 K)	0.3658	eV/atom
space-group type	R3m
VASP energy	-9.104	eV/atom
N(E_F)	5.52	states/eV/f.u.

a b c (Å): 2.8193 2.8193 8.9792
angles (deg): 80.97 80.97 60.00
With the nearest neighbours (Å) after each atom.
Element x y z (fractional)
Mo (0.9923, 0.9923, 0.0230)  3 Co 2.52, 6 Mo 2.82
Co (0.2531, 0.2531, 0.2406)  3 Mo 2.52, 3 Sc 2.66, 6 Co 2.82
Mo (0.7474, 0.7474, 0.7578)  9 Mo 2.82-2.85, 3 Sc 2.95
Sc (0.5071, 0.5071, 0.4786)  3 Co 2.66, 6 Sc 2.82, 3 Mo 2.95

---

# 4
Entry from Alexandria: an optimized crystal structure of CdPbAu2 (GGA-PBEsol).

## Properties
magnetic moment	0.000	μB per cell
ΔH_f (0 K)	-0.0816	eV/atom
space-group type	Amm2
VASP energy	-3.343	eV/atom
N(E_F)	1.38	states/eV/f.u.

a b c (Å): 3.6229 4.3184 5.7351
angles (deg): 90.00 108.41 90.00
With the nearest neighbours (Å) after each atom.
Element x y z (fractional)
Cd (0.1004, 0.0000, 0.2009)  7 Au 2.89-3.05
Au (0.8262, 0.0000, 0.6524)  2 Au 2.81, 4 Pb 2.93, 3 Cd 2.98-3.05
Pb (0.4014, 0.5000, 0.8027)  5 Au 2.82-2.93
Au (0.6607, 0.5000, 0.3213)  2 Au 2.81, 1 Pb 2.82, 4 Cd 2.89

---

# 5
Entry from Alexandria: an optimized crystal structure of K2LiBi2 (GGA-PBEsol).

## Properties
magnetic moment	0.000	μB per cell
ΔH_f (0 K)	-0.3362	eV/atom
space-group type	P4/mbm
VASP energy	-2.897	eV/atom
N(E_F)	3.49	states/eV/f.u.

a b c (Å): 5.7455 7.6748 7.6748
angles (deg): 90.00 90.00 90.00
With the nearest neighbours (Å) after each atom.
Element x y z (fractional)
Li (0.0000, 0.0000, 0.0000)  4 Bi 2.96
K (0.5000, 0.8359, 0.3359)  1 K 3.56, 6 Bi 3.56-3.71
Li (0.0000, 0.5000, 0.5000)  4 Bi 2.96
Bi (0.0000, 0.6417, 0.1417)  2 Li 2.96, 1 Bi 3.08
K (0.5000, 0.1641, 0.6641)  1 K 3.56, 6 Bi 3.56-3.71
K (0.5000, 0.3359, 0.1641)  1 K 3.56, 6 Bi 3.56-3.71
Bi (0.0000, 0.3583, 0.8583)  2 Li 2.96, 1 Bi 3.08
Bi (0.0000, 0.8583, 0.6417)  2 Li 2.96, 1 Bi 3.08
Bi (0.0000, 0.1417, 0.3583)  2 Li 2.96, 1 Bi 3.08
K (0.5000, 0.6641, 0.8359)  1 K 3.56, 6 Bi 3.56-3.71

---

# 6
Entry from Alexandria: an optimized crystal structure of Ba3Mg (GGA-PBEsol).

## Properties
energy above the most stable polymorph in this dataset	1.21	kcal/mol of atoms
magnetic moment	0.000	μB per cell
ΔH_f (0 K)	0.0370	eV/atom
space-group type	I4/mmm
VASP energy	-2.004	eV/atom
N(E_F)	4.87	states/eV/f.u.

a b c (Å): 6.3508 6.3508 10.2291
angles (deg): 108.09 108.09 90.00
With the nearest neighbours (Å) after each atom.
Element x y z (fractional)
Ba (0.8728, 0.8728, 0.7456)  8 Ba 3.90-3.94
Ba (0.7500, 0.2500, 0.5000)  4 Mg 3.82, 4 Ba 3.90
Ba (0.0000, 0.5000, 0.0000)  4 Ba 3.94, 4 Mg 4.02
Ba (0.5000, 0.0000, 0.0000)  4 Ba 3.94, 4 Mg 4.02
Mg (0.3658, 0.3658, 0.7317)  8 Ba 3.82-4.02
Mg (0.6342, 0.6342, 0.2683)  8 Ba 3.82-4.02
Ba (0.1272, 0.1272, 0.2544)  8 Ba 3.90-3.94
Ba (0.2500, 0.7500, 0.5000)  4 Mg 3.82, 4 Ba 3.90

---

# 7
Entry from Alexandria: an optimized crystal structure of GdPbAu (GGA-PBEsol).

## Properties
magnetic moment	7.020	μB per cell
ΔH_f (0 K)	-0.7108	eV/atom
space-group type	F-43m
VASP energy	-8.168	eV/atom
N(E_F)	0.83	states/eV/f.u.

a b c (Å): 4.7785 4.7785 4.7785
angles (deg): 60.00 60.00 60.00
With the nearest neighbours (Å) after each atom.
Element x y z (fractional)
Au (0.7500, 0.7500, 0.7500)  4 Gd 2.93, 4 Pb 2.93
Pb (0.0000, 0.0000, 0.0000)  4 Au 2.93
Gd (0.5000, 0.5000, 0.5000)  4 Au 2.93

---

# 8
Entry from Alexandria: an optimized crystal structure of NbCrNO2 (GGA-PBEsol).

## Properties
magnetic moment	2.335	μB per cell
space-group type	P4/mmm
formation energy from raw total energies	-806.9	meV/atom
VASP energy	-8.825	eV/atom
N(E_F)	3.89	states/eV/f.u.

a b c (Å): 3.6043 3.6043 3.7858
angles (deg): 90.00 90.00 90.00
With the nearest neighbours (Å) after each atom.
Element x y z (fractional)
O (0.0000, 0.5000, 0.0000)  2 Cr 1.80
Nb (0.5000, 0.5000, 0.5000)  4 N 2.55, 8 O 2.61
N (0.0000, 0.0000, 0.5000)  2 Cr 1.89
Cr (0.0000, 0.0000, 0.0000)  4 O 1.80, 2 N 1.89
O (0.5000, 0.0000, 0.0000)  2 Cr 1.80